one) An optimized crystal structure of KPa3S6. Source: the Alexandria database, functional GGA-PBE.

Summary:
DOS at the Fermi energy = 11.677 states/eV/f.u.
crystal system = monoclinic

POSCAR file:
```
KPa3S6
1.0
4.104 0.000 0.000
0.000 9.993 -5.320
0.000 -1.630 13.354
Pa S K
6 12 2
Direct
0.750 0.666 0.166
0.750 0.092 0.928
0.750 0.171 0.489
0.250 0.334 0.834
0.250 0.908 0.072
0.250 0.829 0.511
0.250 0.290 0.443
0.750 0.404 0.733
0.250 0.038 0.775
0.750 0.710 0.557
0.250 0.596 0.267
0.250 0.633 0.008
0.750 0.836 0.909
0.750 0.962 0.225
0.250 0.118 0.591
0.750 0.367 0.992
0.250 0.164 0.091
0.750 0.882 0.409
0.750 0.393 0.309
0.250 0.607 0.691
```

two) An optimized crystal structure of KPa3S6. Source: the Alexandria database, functional GGA-PBE.

Summary:
DOS at the Fermi energy = 8.693 states/eV/f.u.
crystal system = orthorhombic

POSCAR file:
```
KPa3S6
1.0
4.125 0.000 0.000
0.000 8.579 -0.125
0.000 -2.816 8.104
S Pa K
6 3 1
Direct
0.000 0.929 0.672
0.500 0.320 0.680
0.000 0.672 0.929
0.500 0.680 0.320
0.000 0.071 0.328
0.000 0.328 0.071
0.000 0.000 0.000
0.500 0.000 0.500
0.500 0.500 0.000
0.000 0.500 0.500
```

What are the relative energies? In kJ/mol of atoms: one) 0.0; two) 18.6.

one) An optimized crystal structure of KPaSb2. Source: the Alexandria database, functional GGA-PBE.

Summary:
DOS at the Fermi energy = 4.529 states/eV/f.u.
crystal system = tetragonal

POSCAR file:
```
KPaSb2
1.0
3.942 0.000 0.000
0.000 3.942 0.000
0.000 0.000 8.263
K Sb Pa
1 2 1
Direct
0.500 0.500 0.500
0.000 0.000 0.195
0.000 0.000 0.805
0.500 0.500 0.000
```

two) An optimized crystal structure of KPaSb2. Source: the Alexandria database, functional GGA-PBE.

Summary:
crystal system = trigonal

POSCAR file:
```
KPaSb2
1.0
4.561 0.000 0.000
2.280 3.950 0.000
2.280 1.317 8.119
Sb Pa K
2 1 1
Direct
0.268 0.268 0.195
0.732 0.732 0.805
0.000 0.000 0.000
0.500 0.500 0.500
```

What are the relative energies? In kJ/mol of atoms: one) 6.0; two) 0.0.

one) An optimized crystal structure of KPa2Se6. Source: the Alexandria database, functional GGA-PBE.

Summary:
DOS at the Fermi energy = 4.335 states/eV/f.u.
crystal system = trigonal

POSCAR file:
```
KPa2Se6
1.0
-3.884 -1.132 0.108
2.169 -7.619 -1.843
-0.462 2.328 7.780
K Pa Se
1 2 6
Direct
0.500 0.000 0.000
0.258 0.667 0.333
0.742 0.333 0.667
0.242 0.093 0.406
0.758 0.686 0.093
0.242 0.594 0.686
0.758 0.907 0.594
0.242 0.314 0.907
0.758 0.406 0.314
```

two) An optimized crystal structure of KPa2Se6. Source: the Alexandria database, functional GGA-PBE.

Summary:
DOS at the Fermi energy = 11.027 states/eV/f.u.
crystal system = monoclinic

POSCAR file:
```
KPa2Se6
1.0
-6.311 -1.957 3.484
5.604 -4.688 -1.554
2.689 -2.438 7.683
Pa Se K
2 6 1
Direct
0.341 0.159 0.500
0.659 0.841 0.500
0.115 0.013 0.284
0.747 0.247 0.281
0.513 0.615 0.284
0.487 0.385 0.716
0.885 0.987 0.716
0.253 0.753 0.719
0.500 0.000 0.000
```

What are the relative energies? In kJ/mol of atoms: one) 0.0; two) 5.4.

one) An optimized crystal structure of KPa4Se8. Source: the Alexandria database, functional GGA-PBE.

Summary:
DOS at the Fermi energy = 26.032 states/eV/f.u.
crystal system = cubic

POSCAR file:
```
KPa4Se8
1.0
-7.552 -4.079 0.897
-1.186 -5.493 6.550
-5.293 2.097 6.485
Se Pa K
8 4 1
Direct
0.137 0.137 0.588
0.137 0.137 0.137
0.178 0.607 0.607
0.137 0.588 0.137
0.607 0.607 0.607
0.588 0.137 0.137
0.607 0.607 0.178
0.607 0.178 0.607
0.373 0.882 0.373
0.373 0.373 0.882
0.882 0.373 0.373
0.373 0.373 0.373
0.750 0.750 0.750
```

two) An optimized crystal structure of KPa4Se8. Source: the Alexandria database, functional GGA-PBE.

Summary:
DOS at the Fermi energy = 7.189 states/eV/f.u.
crystal system = hexagonal

POSCAR file:
```
KPa4Se8
1.0
7.877 0.000 0.000
-3.938 6.821 0.000
0.000 0.000 17.413
K Pa Se
2 8 16
Direct
0.000 0.000 0.500
0.000 0.000 0.000
0.501 0.499 0.750
0.499 0.997 0.250
0.003 0.501 0.250
0.000 0.000 0.750
0.499 0.501 0.250
0.000 0.000 0.250
0.501 0.003 0.750
0.997 0.499 0.750
0.666 0.833 0.851
0.833 0.666 0.149
0.167 0.334 0.649
0.167 0.833 0.649
0.833 0.666 0.351
0.667 0.333 0.852
0.333 0.667 0.352
0.833 0.167 0.149
0.666 0.833 0.649
0.667 0.333 0.648
0.167 0.833 0.851
0.334 0.167 0.351
0.333 0.667 0.148
0.167 0.334 0.851
0.334 0.167 0.149
0.833 0.167 0.351
```

What are the relative energies? In kJ/mol of atoms: one) 0.5; two) 0.0.

one) An optimized crystal structure of KPaSe4. Source: the Alexandria database, functional GGA-PBE.

Summary:
crystal system = monoclinic

POSCAR file:
```
KPaSe4
1.0
-0.994 -2.240 -4.136
-3.910 -2.764 0.423
-5.485 6.208 -2.796
Pa Se K
1 4 1
Direct
0.000 0.000 0.000
0.381 0.381 0.907
0.109 0.109 0.702
0.891 0.891 0.298
0.619 0.619 0.093
0.500 0.500 0.500
```

two) An optimized crystal structure of KPaSe4. Source: the Alexandria database, functional GGA-PBE.

Summary:
crystal system = orthorhombic

POSCAR file:
```
KPaSe4
1.0
6.516 0.554 0.000
0.554 6.516 0.000
0.000 0.000 8.297
K Pa Se
2 2 8
Direct
0.000 0.000 0.500
0.500 0.500 0.500
0.000 0.000 0.000
0.500 0.500 0.000
0.169 0.669 0.198
0.355 0.145 0.188
0.645 0.855 0.188
0.855 0.645 0.812
0.331 0.831 0.802
0.145 0.355 0.812
0.831 0.331 0.198
0.669 0.169 0.802
```

What are the relative energies? In kJ/mol of atoms: one) 9.7; two) 0.0.

one) An optimized crystal structure of KPa2Se5. Source: the Alexandria database, functional GGA-PBE.

Summary:
DOS at the Fermi energy = 1.261 states/eV/f.u.
crystal system = tetragonal

POSCAR file:
```
KPa2Se5
1.0
7.095 0.000 -3.349
-1.581 6.917 -3.349
0.032 0.040 9.258
Se Pa K
10 4 2
Direct
0.524 0.733 0.756
0.233 0.024 0.756
0.767 0.976 0.244
0.024 0.524 0.756
0.267 0.767 0.244
0.733 0.233 0.756
0.976 0.476 0.244
0.476 0.267 0.244
0.000 0.000 0.000
0.500 0.500 0.000
0.657 0.157 0.000
0.843 0.657 0.000
0.343 0.843 0.000
0.157 0.343 0.000
0.250 0.250 0.500
0.750 0.750 0.500
```

two) An optimized crystal structure of KPa2Se5. Source: the Alexandria database, functional GGA-PBE.

Summary:
DOS at the Fermi energy = 7.383 states/eV/f.u.
crystal system = orthorhombic

POSCAR file:
```
KPa2Se5
1.0
4.348 0.000 0.000
2.174 8.008 2.004
2.174 3.441 7.504
K Se Pa
1 5 2
Direct
0.000 0.000 0.000
0.656 0.603 0.086
0.344 0.397 0.914
0.656 0.086 0.603
0.344 0.914 0.397
0.000 0.500 0.500
0.186 0.314 0.314
0.814 0.686 0.686
```

What are the relative energies? In kJ/mol of atoms: one) 0.0; two) 2.3.

one) An optimized crystal structure of K2PaSe3. Source: the Alexandria database, functional GGA-PBE.

Summary:
DOS at the Fermi energy = 5.378 states/eV/f.u.
crystal system = monoclinic

POSCAR file:
```
K2PaSe3
1.0
7.518 -0.028 -1.268
-4.055 6.330 -1.268
0.054 0.098 8.085
Pa Se K
2 6 4
Direct
0.001 0.999 0.000
0.666 0.334 0.000
0.034 0.367 0.209
0.633 0.966 0.791
0.891 0.595 0.790
0.776 0.738 0.210
0.262 0.224 0.790
0.405 0.109 0.210
0.833 0.167 0.500
0.490 0.510 0.500
0.333 0.667 0.000
0.177 0.823 0.500
```

two) An optimized crystal structure of K2PaSe3. Source: the Alexandria database, functional GGA-PBE.

Summary:
DOS at the Fermi energy = 4.162 states/eV/f.u.
crystal system = orthorhombic

POSCAR file:
```
K2PaSe3
1.0
4.346 0.000 0.000
0.000 6.061 0.000
0.000 -3.031 7.754
Se K Pa
3 2 1
Direct
0.500 0.878 0.756
0.000 0.500 0.000
0.500 0.122 0.244
0.500 0.659 0.318
0.500 0.341 0.682
0.000 0.000 0.000
```

What are the relative energies? In kJ/mol of atoms: one) 0.0; two) 9.8.

one) An optimized crystal structure of K4PaTe5. Source: the Alexandria database, functional GGA-PBE.

Summary:
DOS at the Fermi energy = 7.492 states/eV/f.u.
crystal system = tetragonal

POSCAR file:
```
K4PaTe5
1.0
-1.421 2.345 6.318
-3.203 -5.913 5.228
6.494 -0.688 5.470
Pa K Te
1 4 5
Direct
0.042 0.000 0.000
0.801 0.784 0.613
0.415 0.387 0.784
0.585 0.613 0.216
0.198 0.216 0.387
0.252 0.830 0.662
0.915 0.338 0.830
0.476 0.000 0.000
0.082 0.662 0.170
0.744 0.170 0.338
```

two) An optimized crystal structure of K4PaTe5. Source: the Alexandria database, functional GGA-PBE.

Summary:
DOS at the Fermi energy = 5.672 states/eV/f.u.
crystal system = tetragonal

POSCAR file:
```
K4PaTe5
1.0
5.727 0.000 1.984
2.864 8.312 0.992
0.143 0.000 8.846
K Te Pa
4 5 1
Direct
0.499 0.279 0.721
0.778 0.721 0.721
0.220 0.279 0.279
0.499 0.721 0.279
0.499 0.000 0.000
0.180 0.639 0.000
0.180 0.000 0.639
0.818 0.000 0.361
0.818 0.361 0.000
0.999 0.000 0.000
```

What are the relative energies? In kJ/mol of atoms: one) 0.0; two) 6.2.

one) An optimized crystal structure of KPaTe4. Source: the Alexandria database, functional GGA-PBE.

Summary:
crystal system = monoclinic

POSCAR file:
```
KPaTe4
1.0
8.064 0.000 0.961
0.000 7.848 0.000
-1.398 -3.924 7.683
Te K Pa
8 2 2
Direct
0.241 0.726 0.453
0.000 0.246 0.000
0.451 0.156 0.825
0.000 0.754 0.000
0.451 0.669 0.825
0.759 0.274 0.547
0.549 0.844 0.175
0.549 0.331 0.175
0.168 0.191 0.382
0.832 0.809 0.618
0.732 0.458 0.916
0.268 0.542 0.084
```

two) An optimized crystal structure of KPaTe4. Source: the Alexandria database, functional GGA-PBE.

Summary:
DOS at the Fermi energy = 7.458 states/eV/f.u.
crystal system = tetragonal

POSCAR file:
```
KPaTe4
1.0
-6.106 -0.474 -3.167
-0.213 -6.744 1.421
-4.091 1.736 7.626
Te Pa K
8 2 2
Direct
0.342 0.158 0.201
0.658 0.158 0.799
0.842 0.658 0.799
0.158 0.342 0.799
0.158 0.658 0.201
0.842 0.342 0.201
0.658 0.842 0.201
0.342 0.842 0.799
0.000 0.000 0.000
0.500 0.500 0.000
0.000 0.000 0.500
0.500 0.500 0.500
```

What are the relative energies? In kJ/mol of atoms: one) 2.5; two) 0.0.

one) An optimized crystal structure of KPa4Te8. Source: the Alexandria database, functional GGA-PBE.

Summary:
DOS at the Fermi energy = 27.052 states/eV/f.u.
crystal system = cubic

POSCAR file:
```
KPa4Te8
1.0
9.194 0.000 0.000
4.597 7.962 0.000
4.597 2.654 7.507
Te Pa K
8 4 1
Direct
0.175 0.608 0.608
0.608 0.608 0.608
0.132 0.132 0.603
0.603 0.132 0.132
0.608 0.175 0.608
0.132 0.603 0.132
0.608 0.608 0.175
0.132 0.132 0.132
0.887 0.371 0.371
0.371 0.371 0.887
0.371 0.887 0.371
0.371 0.371 0.371
0.750 0.750 0.750
```

two) An optimized crystal structure of KPa4Te8. Source: the Alexandria database, functional GGA-PBE.

Summary:
DOS at the Fermi energy = 9.039 states/eV/f.u.
crystal system = hexagonal

POSCAR file:
```
KPa4Te8
1.0
-3.662 -7.232 -1.702
7.815 1.348 -2.389
6.135 -6.912 16.167
Pa Te K
8 16 2
Direct
0.996 0.498 0.750
0.498 0.996 0.250
0.502 0.004 0.750
0.498 0.502 0.250
0.004 0.502 0.250
0.502 0.498 0.750
0.000 0.000 0.250
0.000 0.000 0.750
0.832 0.168 0.145
0.333 0.667 0.144
0.832 0.168 0.355
0.667 0.333 0.644
0.336 0.168 0.355
0.832 0.664 0.355
0.168 0.832 0.855
0.168 0.336 0.645
0.664 0.832 0.855
0.168 0.336 0.855
0.336 0.168 0.145
0.667 0.333 0.856
0.333 0.667 0.356
0.832 0.664 0.145
0.664 0.832 0.645
0.168 0.832 0.645
0.000 0.000 0.000
0.000 0.000 0.500
```

What are the relative energies? In kJ/mol of atoms: one) 4.6; two) 0.0.